This record from the Alexandria database describes MgTa4Se8 after structural relaxation. The functional is PBE-GGA.

It has space group C2/m (No. 12), with a = 12.2556 Å, b = 7.2156 Å, c = 8.7166 Å, α = 90.00°, β = 130.98° and γ = 90.00°. The distinct sites, in fractional coordinates, are Mg at (0.0000, 0.0000, 0.0000), Ta at (0.0000, 0.2992, 0.5000), Ta at (0.2211, 0.5000, 0.4930), Se at (0.0100, 0.0000, 0.7019), Se at (0.0546, 0.5000, 0.7898) and Se at (0.2178, 0.2561, 0.2533).

As for the energy relative to the elements, uncorrected: -0.843 eV/atom. For the calculated volume, the calculation gives 22.38 A^3/atom.


This record from the Alexandria database describes Mg3TaSe after structural relaxation. The functional is PBE-GGA.

It has space group Pm-3m (No. 221), with a = 5.4295 Å, b = 5.4295 Å, c = 5.4295 Å, α = 90.00°, β = 90.00° and γ = 90.00°. The distinct sites, in fractional coordinates, are Mg at (0.0000, 0.0000, 0.5000), Ta at (0.0000, 0.0000, 0.0000) and Se at (0.5000, 0.5000, 0.5000).

Its energy above the most stable polymorph in this dataset is 591 meV/atom. As for the energy relative to the elements, uncorrected: 1.287 eV/atom. For the calculated volume, the calculation gives 32.01 A^3/atom.


This record from the Alexandria database describes MgTaSe3 after structural relaxation. The functional is PBE-GGA.

It has space group Pm-3m (No. 221), with a = 5.0556 Å, b = 5.0556 Å, c = 5.0556 Å, α = 90.00°, β = 90.00° and γ = 90.00°. The distinct sites, in fractional coordinates, are Mg at (0.0000, 0.0000, 0.0000), Ta at (0.5000, 0.5000, 0.5000) and Se at (0.0000, 0.5000, 0.5000).

Its energy above the most stable polymorph in this dataset is 0 meV/atom. As for the energy relative to the elements, uncorrected: -0.282 eV/atom. For the calculated volume, the calculation gives 25.84 A^3/atom.